Rb2Dy4Cu4S9 after structural relaxation. Source: OQMD via LeMat-Bulk, functional PBE.

Computed properties:
Its space-group type is C2/m (12). The calculation puts the total energy at -5.23 eV/atom.

Geometry as POSCAR:
```
Rb2Dy4Cu4S9
1.0
6.954 -1.980 0.000
6.954 1.980 0.000
-5.285 0.000 15.097
Rb Dy Cu S
2 4 4 9
Direct
0.028 0.028 0.271 Rb
0.972 0.972 0.729 Rb
0.232 0.232 0.103 Dy
0.346 0.346 0.446 Dy
0.654 0.654 0.554 Dy
0.768 0.768 0.897 Dy
0.248 0.248 0.729 Cu
0.430 0.430 0.039 Cu
0.570 0.570 0.961 Cu
0.752 0.752 0.271 Cu
0.000 0.000 0.500 S
0.139 0.139 0.925 S
0.296 0.296 0.600 S
0.342 0.342 0.277 S
0.392 0.392 0.876 S
0.608 0.608 0.124 S
0.658 0.658 0.723 S
0.704 0.704 0.400 S
0.861 0.861 0.075 S
```